1.
This record from Alexandria via LeMat-Bulk describes an optimized crystal structure of LuFe2SiC. The functional is PBE-GGA.

Summary:
uncorrected energy = -155.321 eV per cell
energy relative to the elements, uncorrected = -0.547 eV per atom
density = 8.51 g/cm3

Cell lengths 3.669, 10.393, 6.686 Å; angles 90.00, 90.00, 90.00 degrees
Space group Cmcm (No. 63)
Inequivalent atoms, fractional coordinates:
1 Lu 0.000 0.049 0.250 (multiplicity 4)
2 Fe 0.000 0.335 0.062 (multiplicity 8)
3 Si 0.000 0.231 0.750 (multiplicity 4)
4 C 0.000 0.500 0.000 (multiplicity 4)

***

2.
This record from Alexandria via LeMat-Bulk describes an optimized crystal structure of YGePO2. The functional is PBE-GGA.

Summary:
uncorrected energy = -32.614 eV per cell
energy relative to the elements, uncorrected = -1.241 eV per atom
ΔE to the lowest computed polymorph = 0.000 eV/atom
density = 5.08 g/cm3

Cell lengths 3.914, 3.914, 4.795 Å; angles 90.00, 90.00, 90.00 degrees
Space group P4/mmm (No. 123)
Inequivalent atoms, fractional coordinates:
1 Y 0.000 0.000 0.000 (multiplicity 1)
2 Ge 0.500 0.500 0.500 (multiplicity 1)
3 P 0.500 0.500 0.000 (multiplicity 1)
4 O 0.000 0.500 0.500 (multiplicity 2)

***

3.
This record from Alexandria via LeMat-Bulk describes an optimized crystal structure of Ac2Ho3Tl4. The functional is PBE-GGA.

Summary:
uncorrected energy = -69.353 eV per cell
energy relative to the elements = -3.26 eV per formula unit
ΔE to the lowest computed polymorph = 0.000 eV/atom
density = 10.22 g/cm3

Cell lengths 8.583, 8.522, 8.276 Å; angles 90.00, 108.58, 90.00 degrees
Space group P2_1/c (No. 14)
Inequivalent atoms, fractional coordinates:
1 Ac 0.190 0.177 0.066 (multiplicity 4)
2 Ho 0.249 0.665 0.249 (multiplicity 4)
3 Ho 0.500 0.000 0.500 (multiplicity 2)
4 Tl 0.083 0.543 0.857 (multiplicity 4)
5 Tl 0.499 0.629 0.634 (multiplicity 4)

***

4.
This record from Alexandria via LeMat-Bulk describes an optimized crystal structure of La2Y2Co. The functional is PBE-GGA.

Summary:
uncorrected energy = -58.433 eV per cell
energy relative to the elements = 0.67 eV per formula unit
ΔE to the lowest computed polymorph = 0.183 eV/atom
density = 5.75 g/cm3

Cell lengths 7.058, 7.058, 5.963 Å; angles 90.00, 90.00, 90.00 degrees
Space group P4/mbm (No. 127)
Inequivalent atoms, fractional coordinates:
1 La 0.167 0.333 0.000 (multiplicity 4)
2 Y 0.166 0.666 0.500 (multiplicity 4)
3 Co 0.000 0.000 0.500 (multiplicity 2)

***

5.
This record from Alexandria via LeMat-Bulk describes an optimized crystal structure of CdPbAu2. The functional is PBE-GGA.

Summary:
uncorrected energy = -22.712 eV per cell
energy relative to the elements = -0.18 eV per formula unit
density = 12.32 g/cm3

Cell lengths 8.095, 3.764, 6.552 Å; angles 90.00, 105.48, 90.00 degrees
Space group C2/m (No. 12)
Inequivalent atoms, fractional coordinates:
1 Cd 0.000 0.000 0.000 (multiplicity 2)
2 Pb 0.000 0.500 0.500 (multiplicity 2)
3 Au 0.245 0.500 0.226 (multiplicity 4)

***

6.
This record from Alexandria via LeMat-Bulk describes an optimized crystal structure of SrCd2Au2. The functional is PBE-GGA.

Summary:
uncorrected energy = -23.335 eV per cell
energy relative to the elements = -1.60 eV per formula unit
ΔE to the lowest computed polymorph = 0.186 eV/atom
density = 10.15 g/cm3

Cell lengths 8.362, 8.362, 3.304 Å; angles 90.00, 90.00, 90.00 degrees
Space group P4/mbm (No. 127)
Inequivalent atoms, fractional coordinates:
1 Sr 0.000 0.000 0.000 (multiplicity 2)
2 Cd 0.122 0.378 0.000 (multiplicity 4)
3 Au 0.177 0.677 0.500 (multiplicity 4)

***

7.
This record from Alexandria via LeMat-Bulk describes an optimized crystal structure of KRbGeI4. The functional is PBE-GGA.

Summary:
uncorrected energy = -39.127 eV per cell
energy relative to the elements, uncorrected = -0.954 eV per atom
density = 3.65 g/cm3

Cell lengths 5.915, 5.915, 18.304 Å; angles 90.00, 90.00, 90.00 degrees
Space group I4mm (No. 107)
Inequivalent atoms, fractional coordinates:
1 K 0.000 0.000 0.000 (multiplicity 2)
2 Rb 0.000 0.000 0.277 (multiplicity 2)
3 Ge 0.000 0.000 0.638 (multiplicity 2)
4 I 0.000 0.000 0.475 (multiplicity 2)
5 I 0.000 0.000 0.806 (multiplicity 2)
6 I 0.000 0.500 0.136 (multiplicity 4)

***

8.
This record from Alexandria via LeMat-Bulk describes an optimized crystal structure of LiNdMgTe3. The functional is PBE-GGA.

Summary:
uncorrected energy = -48.706 eV per cell
energy relative to the elements, uncorrected = -1.109 eV per atom
density = 5.40 g/cm3

Cell lengths 8.656, 4.304, 9.515 Å; angles 90.00, 104.43, 90.00 degrees
Space group P2_1/m (No. 11)
Inequivalent atoms, fractional coordinates:
1 Li 0.090 0.250 0.091 (multiplicity 2)
2 Nd 0.194 0.250 0.741 (multiplicity 2)
3 Mg 0.332 0.750 0.336 (multiplicity 2)
4 Te 0.094 0.250 0.375 (multiplicity 2)
5 Te 0.243 0.750 0.008 (multiplicity 2)
6 Te 0.427 0.750 0.651 (multiplicity 2)

***

The lowest uncorrected energy belongs to which entry? LuFe2SiC

***

What is the uncorrected energy in the second record? -32.614 eV per cell

***

uncorrected energy of number 5 (CdPbAu2)? -22.712 eV per cell

***

Look up the uncorrected energy of the fifth one. -22.712 eV per cell